# 1
VASP calculation (GGA-PBE) on a geometry-optimized Si2Pd structure.

It has space group C2/m (No. 12), with a = 7.1942 Å, b = 3.9200 Å, c = 4.7261 Å, α = 90.00°, β = 127.74° and γ = 90.00°. The inequivalent atoms are Si at (0.1092, 0.0000, 0.3899) and Pd at (0.0000, 0.5000, 0.0000).

The calculation puts the formation energy (no corrections) at -0.208 eV per atom.

***

# 2
VASP calculation (GGA-PBE) on a geometry-optimized SiPd structure.

It has space group Pm-3n (No. 223), with a = 6.6661 Å, b = 6.6661 Å, c = 6.6661 Å, α = 90.00°, β = 90.00° and γ = 90.00°. The inequivalent atoms are Si at (0.0000, 0.2500, 0.5000) and Pd at (0.0000, 0.5000, 0.2500).

The calculation puts the formation energy (no corrections) at 0.058 eV per atom.

***

formation energy (no corrections) of number 2 (SiPd)? 0.058 eV per atom